# 1
Below is crystalline K2Ag4Pb5 at its relaxed geometry, with properties calculated at the PBE level.

abc: 7.6082 7.6082 9.5785
angles: 128.89 128.89 51.97
Last column: nearest neighbours and their distance in Å.
Element x y z (fractional)
K (0.1979, 0.1979, 0.1970)  6 Ag 3.32-3.70
K (0.8021, 0.8021, 0.8030)  6 Ag 3.32-3.70
Ag (0.2480, 0.2480, 0.9044)  3 Pb 2.88-2.98, 1 Ag 3.02
Ag (0.2494, 0.2494, 0.5906)  3 Pb 2.89-2.98, 1 Ag 3.02
Ag (0.7506, 0.7506, 0.4094)  3 Pb 2.89-2.98, 1 Ag 3.02
Ag (0.7520, 0.7520, 0.0956)  3 Pb 2.88-2.98, 1 Ag 3.02
Pb (0.2545, 0.7442, 0.6776)  3 Ag 2.98-3.33, 1 Pb 3.27
Pb (0.2558, 0.7455, 0.3224)  3 Ag 2.98-3.33, 1 Pb 3.27
Pb (0.5000, 0.5000, 0.0000)  4 Ag 2.88-2.89
Pb (0.7442, 0.2545, 0.6776)  3 Ag 2.98-3.33, 1 Pb 3.27
Pb (0.7455, 0.2558, 0.3224)  3 Ag 2.98-3.33, 1 Pb 3.27

Results
As for the space-group type: C2/m (12). As for the crystal system: monoclinic.

***

# 2
Below is crystalline Mg2MnCr3S8 at its relaxed geometry, with properties calculated at the PBE level.

abc: 7.2234 7.2234 7.2234
angles: 60.11 60.11 60.11
Last column: nearest neighbours and their distance in Å.
Element x y z (fractional)
Mg (0.1239, 0.1239, 0.1239)  4 S 2.44-2.46
Mg (0.8761, 0.8761, 0.8761)  4 S 2.44-2.46
Mn (0.5000, 0.5000, 0.5000)  6 S 2.46
Cr (0.0000, 0.5000, 0.5000)  6 S 2.42-2.43
Cr (0.5000, 0.0000, 0.5000)  6 S 2.42-2.43
Cr (0.5000, 0.5000, 0.0000)  6 S 2.42-2.43
S (0.2604, 0.2604, 0.7112)  2 Cr 2.42, 1 Mg 2.44, 1 Mn 2.46
S (0.2604, 0.7112, 0.2604)  2 Cr 2.42, 1 Mg 2.44, 1 Mn 2.46
S (0.2629, 0.2629, 0.2629)  3 Cr 2.43, 1 Mg 2.46
S (0.2888, 0.7396, 0.7396)  2 Cr 2.42, 1 Mg 2.44, 1 Mn 2.46
S (0.7112, 0.2604, 0.2604)  2 Cr 2.42, 1 Mg 2.44, 1 Mn 2.46
S (0.7371, 0.7371, 0.7371)  3 Cr 2.43, 1 Mg 2.46
S (0.7396, 0.2888, 0.7396)  2 Cr 2.42, 1 Mg 2.44, 1 Mn 2.46
S (0.7396, 0.7396, 0.2888)  2 Cr 2.42, 1 Mg 2.44, 1 Mn 2.46

Results
As for the space-group type: R-3m (166). As for the crystal system: trigonal.

***

Short version: density = 8.21; 3.21 g/cm3, in the order given.
Short version: final energy = -2.90; -6.17 eV/atom, in the order given.
Short version: spin magnetization = 0.000; 0.929 μB/atom, in the order given.